Run P
# MnHg2Ru (PBE-GGA, relaxed)
# SG: Pmmm, No. 47
# Spin magnetization: 4.89 Bohr magnetons per cell
# Crystal system: orthorhombic
# N(E_F): 2.0 states/eV/f.u.
data_MnHg2Ru
_chemical_formula_sum 'Mn1 Hg2 Ru1'
_cell_length_a 2.9894
_cell_length_b 4.0198
_cell_length_c 5.8697
_cell_angle_alpha 90.00
_cell_angle_beta 90.00
_cell_angle_gamma 90.00
_space_group_name_H-M_alt 'P 1'
_space_group_IT_number 1
_space_group_name_Hall 'P 1'
loop_
_atom_site_label
_atom_site_type_symbol
_atom_site_fract_x
_atom_site_fract_y
_atom_site_fract_z
Mn1 Mn 0.0000 0.0000 0.0000
Hg1 Hg 0.5000 0.5000 0.2508
Hg2 Hg 0.5000 0.5000 0.7492
Ru1 Ru 0.0000 0.0000 0.5000



Run Q
# MnHg2Ru (PBE-GGA, relaxed)
# SG: I-42d, No. 122
# Spin magnetization: 19.86 Bohr magnetons per cell
# Crystal system: tetragonal
# N(E_F): 2.2 states/eV/f.u.
data_MnHg2Ru
_chemical_formula_sum 'Mn4 Hg8 Ru4'
_cell_length_a 7.4597
_cell_length_b 7.4597
_cell_length_c 5.6410
_cell_angle_alpha 90.00
_cell_angle_beta 90.00
_cell_angle_gamma 90.00
_space_group_name_H-M_alt 'P 1'
_space_group_IT_number 1
_space_group_name_Hall 'P 1'
loop_
_atom_site_label
_atom_site_type_symbol
_atom_site_fract_x
_atom_site_fract_y
_atom_site_fract_z
Mn1 Mn 0.0000 0.0000 0.0000
Mn2 Mn 0.0000 0.5000 0.2500
Mn3 Mn 0.5000 0.0000 0.7500
Mn4 Mn 0.5000 0.5000 0.5000
Hg1 Hg 0.2495 0.2500 0.1250
Hg2 Hg 0.2500 0.7495 0.3750
Hg3 Hg 0.2500 0.7505 0.8750
Hg4 Hg 0.2505 0.2500 0.6250
Hg5 Hg 0.7495 0.7500 0.6250
Hg6 Hg 0.7500 0.2495 0.8750
Hg7 Hg 0.7500 0.2505 0.3750
Hg8 Hg 0.7505 0.7500 0.1250
Ru1 Ru 0.0000 0.0000 0.5000
Ru2 Ru 0.0000 0.5000 0.7500
Ru3 Ru 0.5000 0.0000 0.2500
Ru4 Ru 0.5000 0.5000 0.0000



Run R
# MnHg2Ru (PBE-GGA, relaxed)
# SG: P4/mmm, No. 123
# Spin magnetization: 4.86 Bohr magnetons per cell
# Crystal system: tetragonal
# N(E_F): 3.6 states/eV/f.u.
data_MnHg2Ru
_chemical_formula_sum 'Mn1 Hg2 Ru1'
_cell_length_a 3.0223
_cell_length_b 3.0223
_cell_length_c 7.7293
_cell_angle_alpha 90.00
_cell_angle_beta 90.00
_cell_angle_gamma 90.00
_space_group_name_H-M_alt 'P 1'
_space_group_IT_number 1
_space_group_name_Hall 'P 1'
loop_
_atom_site_label
_atom_site_type_symbol
_atom_site_fract_x
_atom_site_fract_y
_atom_site_fract_z
Mn1 Mn 0.0000 0.0000 0.0000
Hg1 Hg 0.5000 0.5000 0.2502
Hg2 Hg 0.5000 0.5000 0.7498
Ru1 Ru 0.0000 0.0000 0.5000



What should be chosen as the least stable of them? Choose run Q.



Run P
# MnHg2Ru (PBE-GGA, relaxed)
# SG: I4/mmm, No. 139
# Spin magnetization: 9.11 Bohr magnetons per cell
# Crystal system: tetragonal
# N(E_F): 2.3 states/eV/f.u.
data_MnHg2Ru
_chemical_formula_sum 'Mn2 Hg4 Ru2'
_cell_length_a 4.1410
_cell_length_b 4.1410
_cell_length_c 8.1835
_cell_angle_alpha 90.00
_cell_angle_beta 90.00
_cell_angle_gamma 90.00
_space_group_name_H-M_alt 'P 1'
_space_group_IT_number 1
_space_group_name_Hall 'P 1'
loop_
_atom_site_label
_atom_site_type_symbol
_atom_site_fract_x
_atom_site_fract_y
_atom_site_fract_z
Mn1 Mn 0.0000 0.0000 0.0000
Mn2 Mn 0.5000 0.5000 0.5000
Hg1 Hg 0.0000 0.5000 0.2500
Hg2 Hg 0.0000 0.5000 0.7500
Hg3 Hg 0.5000 0.0000 0.2500
Hg4 Hg 0.5000 0.0000 0.7500
Ru1 Ru 0.0000 0.0000 0.5000
Ru2 Ru 0.5000 0.5000 0.0000



Run Q
# MnHg2Ru (PBE-GGA, relaxed)
# SG: R-3m, No. 166
# Spin magnetization: 9.16 Bohr magnetons per cell
# Crystal system: trigonal
# N(E_F): 3.8 states/eV/f.u.
data_MnHg2Ru
_chemical_formula_sum 'Mn3 Hg6 Ru3'
_cell_length_a 3.0020
_cell_length_b 3.0020
_cell_length_c 27.5554
_cell_angle_alpha 90.00
_cell_angle_beta 90.00
_cell_angle_gamma 120.00
_space_group_name_H-M_alt 'P 1'
_space_group_IT_number 1
_space_group_name_Hall 'P 1'
loop_
_atom_site_label
_atom_site_type_symbol
_atom_site_fract_x
_atom_site_fract_y
_atom_site_fract_z
Mn1 Mn 0.0000 0.0000 0.0000
Mn2 Mn 0.3333 0.6667 0.6667
Mn3 Mn 0.6667 0.3333 0.3333
Hg1 Hg 0.0000 0.0000 0.2502
Hg2 Hg 0.0000 0.0000 0.7498
Hg3 Hg 0.3333 0.6667 0.4165
Hg4 Hg 0.3333 0.6667 0.9168
Hg5 Hg 0.6667 0.3333 0.0832
Hg6 Hg 0.6667 0.3333 0.5835
Ru1 Ru 0.0000 0.0000 0.5000
Ru2 Ru 0.3333 0.6667 0.1667
Ru3 Ru 0.6667 0.3333 0.8333



Run R
# MnHg2Ru (PBE-GGA, relaxed)
# SG: R3m, No. 160
# Spin magnetization: 9.14 Bohr magnetons per cell
# Crystal system: trigonal
# N(E_F): 2.9 states/eV/f.u.
data_MnHg2Ru
_chemical_formula_sum 'Mn3 Hg6 Ru3'
_cell_length_a 2.9881
_cell_length_b 2.9881
_cell_length_c 28.3494
_cell_angle_alpha 90.00
_cell_angle_beta 90.00
_cell_angle_gamma 120.00
_space_group_name_H-M_alt 'P 1'
_space_group_IT_number 1
_space_group_name_Hall 'P 1'
loop_
_atom_site_label
_atom_site_type_symbol
_atom_site_fract_x
_atom_site_fract_y
_atom_site_fract_z
Mn1 Mn 0.0000 0.0000 0.0000
Mn2 Mn 0.3333 0.6667 0.6667
Mn3 Mn 0.6667 0.3333 0.3333
Hg1 Hg 0.0000 0.0000 0.2495
Hg2 Hg 0.0000 0.0000 0.4818
Hg3 Hg 0.3333 0.6667 0.1485
Hg4 Hg 0.3333 0.6667 0.9162
Hg5 Hg 0.6667 0.3333 0.5828
Hg6 Hg 0.6667 0.3333 0.8151
Ru1 Ru 0.0000 0.0000 0.7296
Ru2 Ru 0.3333 0.6667 0.3963
Ru3 Ru 0.6667 0.3333 0.0629



What should be chosen as the least stable of them? Choose run Q.



Run P
# MnHg2Ru (PBE-GGA, relaxed)
# SG: Fm-3m, No. 225
# Spin magnetization: 16.16 Bohr magnetons per cell
# Crystal system: cubic
# N(E_F): 3.4 states/eV/f.u.
data_MnHg2Ru
_chemical_formula_sum 'Mn4 Hg8 Ru4'
_cell_length_a 6.5504
_cell_length_b 6.5504
_cell_length_c 6.5504
_cell_angle_alpha 90.00
_cell_angle_beta 90.00
_cell_angle_gamma 90.00
_space_group_name_H-M_alt 'P 1'
_space_group_IT_number 1
_space_group_name_Hall 'P 1'
loop_
_atom_site_label
_atom_site_type_symbol
_atom_site_fract_x
_atom_site_fract_y
_atom_site_fract_z
Mn1 Mn 0.0000 0.0000 0.0000
Mn2 Mn 0.0000 0.5000 0.5000
Mn3 Mn 0.5000 0.0000 0.5000
Mn4 Mn 0.5000 0.5000 0.0000
Hg1 Hg 0.2500 0.2500 0.2500
Hg2 Hg 0.2500 0.2500 0.7500
Hg3 Hg 0.2500 0.7500 0.2500
Hg4 Hg 0.2500 0.7500 0.7500
Hg5 Hg 0.7500 0.2500 0.2500
Hg6 Hg 0.7500 0.2500 0.7500
Hg7 Hg 0.7500 0.7500 0.2500
Hg8 Hg 0.7500 0.7500 0.7500
Ru1 Ru 0.0000 0.0000 0.5000
Ru2 Ru 0.0000 0.5000 0.0000
Ru3 Ru 0.5000 0.0000 0.0000
Ru4 Ru 0.5000 0.5000 0.5000



Run Q
# MnHg2Ru (PBE-GGA, relaxed)
# SG: I-4m2, No. 119
# Spin magnetization: 8.03 Bohr magnetons per cell
# Crystal system: tetragonal
# N(E_F): 3.3 states/eV/f.u.
data_MnHg2Ru
_chemical_formula_sum 'Mn2 Hg4 Ru2'
_cell_length_a 4.1087
_cell_length_b 4.1087
_cell_length_c 8.2919
_cell_angle_alpha 90.00
_cell_angle_beta 90.00
_cell_angle_gamma 90.00
_space_group_name_H-M_alt 'P 1'
_space_group_IT_number 1
_space_group_name_Hall 'P 1'
loop_
_atom_site_label
_atom_site_type_symbol
_atom_site_fract_x
_atom_site_fract_y
_atom_site_fract_z
Mn1 Mn 0.0000 0.0000 0.0000
Mn2 Mn 0.5000 0.5000 0.5000
Hg1 Hg 0.0000 0.0000 0.5000
Hg2 Hg 0.0000 0.5000 0.2500
Hg3 Hg 0.5000 0.0000 0.7500
Hg4 Hg 0.5000 0.5000 0.0000
Ru1 Ru 0.0000 0.5000 0.7500
Ru2 Ru 0.5000 0.0000 0.2500



Run R
# MnHg2Ru (PBE-GGA, relaxed)
# SG: Pm, No. 6
# Spin magnetization: 3.03 Bohr magnetons per cell
# Crystal system: monoclinic
# N(E_F): 3.4 states/eV/f.u.
data_MnHg2Ru
_chemical_formula_sum 'Mn1 Hg2 Ru1'
_cell_length_a 3.0199
_cell_length_b 2.9992
_cell_length_c 8.2074
_cell_angle_alpha 90.00
_cell_angle_beta 99.96
_cell_angle_gamma 90.00
_space_group_name_H-M_alt 'P 1'
_space_group_IT_number 1
_space_group_name_Hall 'P 1'
loop_
_atom_site_label
_atom_site_type_symbol
_atom_site_fract_x
_atom_site_fract_y
_atom_site_fract_z
Mn1 Mn 0.0000 0.0000 0.0000
Hg1 Hg 0.6177 0.5000 0.2482
Hg2 Hg 0.8020 0.0000 0.5785
Ru1 Ru 0.4201 0.5000 0.8335



What should be chosen as the least stable of them? Choose run P.



Run P
# MnHg2Ru (PBE-GGA, relaxed)
# SG: F-43m, No. 216
# Spin magnetization: 18.05 Bohr magnetons per cell
# Crystal system: cubic
# N(E_F): 2.4 states/eV/f.u.
data_MnHg2Ru
_chemical_formula_sum 'Mn4 Hg8 Ru4'
_cell_length_a 6.5658
_cell_length_b 6.5658
_cell_length_c 6.5658
_cell_angle_alpha 90.00
_cell_angle_beta 90.00
_cell_angle_gamma 90.00
_space_group_name_H-M_alt 'P 1'
_space_group_IT_number 1
_space_group_name_Hall 'P 1'
loop_
_atom_site_label
_atom_site_type_symbol
_atom_site_fract_x
_atom_site_fract_y
_atom_site_fract_z
Mn1 Mn 0.0000 0.0000 0.0000
Mn2 Mn 0.0000 0.5000 0.5000
Mn3 Mn 0.5000 0.0000 0.5000
Mn4 Mn 0.5000 0.5000 0.0000
Hg1 Hg 0.0000 0.0000 0.5000
Hg2 Hg 0.0000 0.5000 0.0000
Hg3 Hg 0.2500 0.2500 0.2500
Hg4 Hg 0.2500 0.7500 0.7500
Hg5 Hg 0.5000 0.0000 0.0000
Hg6 Hg 0.5000 0.5000 0.5000
Hg7 Hg 0.7500 0.2500 0.7500
Hg8 Hg 0.7500 0.7500 0.2500
Ru1 Ru 0.2500 0.2500 0.7500
Ru2 Ru 0.2500 0.7500 0.2500
Ru3 Ru 0.7500 0.2500 0.2500
Ru4 Ru 0.7500 0.7500 0.7500



Run Q
# MnHg2Ru (PBE-GGA, relaxed)
# SG: Cmmm, No. 65
# Spin magnetization: 9.32 Bohr magnetons per cell
# Crystal system: orthorhombic
# N(E_F): 2.8 states/eV/f.u.
data_MnHg2Ru
_chemical_formula_sum 'Mn2 Hg4 Ru2'
_cell_length_a 5.8615
_cell_length_b 7.6299
_cell_length_c 3.1500
_cell_angle_alpha 90.00
_cell_angle_beta 90.00
_cell_angle_gamma 90.00
_space_group_name_H-M_alt 'P 1'
_space_group_IT_number 1
_space_group_name_Hall 'P 1'
loop_
_atom_site_label
_atom_site_type_symbol
_atom_site_fract_x
_atom_site_fract_y
_atom_site_fract_z
Mn1 Mn 0.0000 0.0000 0.0000
Mn2 Mn 0.5000 0.5000 0.0000
Hg1 Hg 0.2500 0.2500 0.5000
Hg2 Hg 0.2500 0.7500 0.5000
Hg3 Hg 0.7500 0.2500 0.5000
Hg4 Hg 0.7500 0.7500 0.5000
Ru1 Ru 0.0000 0.5000 0.0000
Ru2 Ru 0.5000 0.0000 0.0000



What should be chosen as the least stable of them? Choose run P.